Here is a geometry-optimized Mg2MnWO6 structure from Alexandria. Energies are from PBE with a Hubbard U.

Unit cell a=5.2554 b=5.2554 c=5.6360 alpha=62.21 beta=62.21 gamma=60.00
Fractional positions:
O  0.6318  0.9139  0.1856
O  0.8120  0.3885  0.7109
O  0.2687  0.6318  0.1856
O  0.0887  0.8120  0.7109
O  0.9139  0.2687  0.1856
O  0.3885  0.0887  0.7109
Mg  0.7054  0.7054  0.8838
Mg  0.2079  0.2079  0.3762
Mn  0.4916  0.4916  0.5252
W  0.0044  0.0044  0.9867

## Properties
Energy above the lowest structure with this stoichiometry, eV per formula unit: 0.000